VASP calculation (PBE-GGA) on Ac2La5NdTm after structural relaxation.

a = 5.691 Å, b = 11.702 Å, c = 10.635 Å
α = 90.00°, β = 90.00°, γ = 104.05°
Fractional coordinates of all 18 atoms:
Ac (0.883, 0.766, 0.772)
Ac (0.117, 0.234, 0.744)
Ac (0.117, 0.234, 0.272)
Ac (0.883, 0.766, 0.244)
La (0.377, 0.755, 0.008)
La (0.722, 0.445, 0.820)
La (0.500, 0.000, 0.758)
La (0.278, 0.555, 0.697)
La (0.997, 0.995, 0.508)
La (0.623, 0.245, 0.508)
La (0.278, 0.555, 0.319)
La (0.500, 0.000, 0.258)
La (0.722, 0.445, 0.197)
La (0.003, 0.005, 0.008)
Nd (0.603, 0.206, 0.008)
Nd (0.397, 0.794, 0.508)
Tm (0.783, 0.567, 0.508)
Tm (0.217, 0.433, 0.008)

## Properties
As for the formation enthalpy at 0 K: 96.7 meV/atom. The space group is No. 11.